# 1
Material: ZrTl2Pb
Method: DFT, PBE
State: optimized geometry

abc: 4.513 4.513 10.044
angles: 90.00 90.00 90.00
Space group I-4m2 (No. 119)
Symmetry-distinct sites (fractional):
Zr (0.000, 0.000, 0.000) (multiplicity 2)
Tl (0.000, 0.000, 0.500) (multiplicity 2)
Tl (0.000, 0.500, 0.250) (multiplicity 2)
Pb (0.000, 0.500, 0.750) (multiplicity 2)

ΔE to the lowest computed polymorph	0.061	eV/atom
magnetic moment	0.000	μB per atom
energy relative to the elements	34	kJ/mol of formula units
raw total energy	-4.159	eV/atom

# 2
Material: Cu4WAu
Method: DFT, PBE
State: optimized geometry

abc: 6.848 6.848 6.848
angles: 90.00 90.00 90.00
Space group F-43m (No. 216)
Symmetry-distinct sites (fractional):
Cu (0.125, 0.125, 0.125) (multiplicity 16)
W (0.250, 0.250, 0.750) (multiplicity 4)
Au (0.000, 0.000, 0.500) (multiplicity 4)

magnetic moment	0.162	μB per atom
energy relative to the elements	182	kJ/mol of formula units
raw total energy	-5.122	eV/atom

# 3
Material: Ac2NdScS6
Method: DFT, PBE
State: optimized geometry

abc: 6.914 7.507 12.139
angles: 90.00 123.84 90.00
Space group P2_1/c (No. 14)
Symmetry-distinct sites (fractional):
Ac (0.218, 0.087, 0.248) (multiplicity 4)
Nd (0.500, 0.000, 0.000) (multiplicity 2)
Sc (0.000, 0.000, 0.500) (multiplicity 2)
S (0.110, 0.200, 0.936) (multiplicity 4)
S (0.243, 0.682, 0.939) (multiplicity 4)
S (0.362, 0.041, 0.738) (multiplicity 4)

magnetic moment	0.000	μB per atom
formation energy (no corrections)	-2.086	eV per atom
raw total energy	-6.494	eV/atom

# 4
Material: NdDy2Se3
Method: DFT, PBE
State: optimized geometry

abc: 4.127 5.829 12.412
angles: 90.00 90.00 90.00
Space group Immm (No. 71)
Symmetry-distinct sites (fractional):
Nd (0.000, 0.000, 0.000) (multiplicity 2)
Dy (0.000, 0.000, 0.340) (multiplicity 4)
Se (0.000, 0.500, 0.000) (multiplicity 2)
Se (0.000, 0.500, 0.324) (multiplicity 4)

magnetic moment	0.000	μB per atom
formation energy (no corrections)	-1.775	eV per atom
raw total energy	-5.845	eV/atom

# 5
Material: V2HSe4
Method: DFT, PBE
State: optimized geometry

abc: 7.230 7.233 7.259
angles: 60.42 60.43 60.78
Space group P1 (No. 1)
Symmetry-distinct sites (fractional):
V (0.000, 0.000, 0.000) (multiplicity 1)
V (0.006, 0.551, 0.009) (multiplicity 1)
V (0.456, 0.544, 0.000) (multiplicity 1)
V (0.949, 0.493, 0.614) (multiplicity 1)
H (0.332, 0.874, 0.283) (multiplicity 1)
H (0.661, 0.205, 0.463) (multiplicity 1)
Se (0.211, 0.306, 0.288) (multiplicity 1)
Se (0.212, 0.756, 0.278) (multiplicity 1)
Se (0.231, 0.263, 0.797) (multiplicity 1)
Se (0.245, 0.789, 0.732) (multiplicity 1)
Se (0.717, 0.261, 0.793) (multiplicity 1)
Se (0.719, 0.775, 0.797) (multiplicity 1)
Se (0.751, 0.295, 0.211) (multiplicity 1)
Se (0.762, 0.755, 0.288) (multiplicity 1)

magnetic moment	0.430	μB per atom
raw total energy	-5.592	eV/atom

# 6
Material: SmAl3GaPd
Method: DFT, PBE
State: optimized geometry

abc: 5.845 14.053 5.652
angles: 90.00 90.00 90.00
Space group Cmcm (No. 63)
Symmetry-distinct sites (fractional):
Sm (0.000, 0.193, 0.250) (multiplicity 4)
Al (0.000, 0.367, 0.750) (multiplicity 4)
Al (0.226, 0.000, 0.000) (multiplicity 8)
Ga (0.000, 0.149, 0.750) (multiplicity 4)
Pd (0.000, 0.398, 0.250) (multiplicity 4)

magnetic moment	0.000	μB per atom
energy relative to the elements	-241	kJ/mol of formula units
raw total energy	-4.443	eV/atom

# 7
Material: CsKVTe3
Method: DFT, PBE
State: optimized geometry

abc: 12.264 8.715 9.426
angles: 90.00 107.81 90.00
Space group C2/m (No. 12)
Symmetry-distinct sites (fractional):
Cs (0.173, 0.000, 0.215) (multiplicity 4)
K (0.000, 0.256, 0.500) (multiplicity 4)
V (0.042, 0.500, 0.133) (multiplicity 4)
Te (0.096, 0.280, 0.889) (multiplicity 8)
Te (0.233, 0.500, 0.352) (multiplicity 4)

magnetic moment	0.000	μB per atom
formation energy (no corrections)	-0.543	eV per atom
raw total energy	-3.959	eV/atom

# 8
Material: Li2CaAg2Ge2
Method: DFT, PBE
State: optimized geometry

abc: 7.906 4.528 7.825
angles: 90.00 108.63 90.00
Space group C2/m (No. 12)
Symmetry-distinct sites (fractional):
Li (0.134, 0.000, 0.413) (multiplicity 4)
Ca (0.000, 0.000, 0.000) (multiplicity 2)
Ag (0.243, 0.500, 0.237) (multiplicity 4)
Ge (0.072, 0.500, 0.706) (multiplicity 4)

magnetic moment	0.000	μB per atom
energy relative to the elements	-221	kJ/mol of formula units
raw total energy	-3.294	eV/atom

> What is the raw total energy in the first record?

-4.159 eV/atom

> Which formula does entry 6 have?

SmAl3GaPd

What did the seventh record say?
Material: CsKVTe3
Method: DFT, PBE
State: optimized geometry

abc: 12.264 8.715 9.426
angles: 90.00 107.81 90.00
Space group C2/m (No. 12)
Symmetry-distinct sites (fractional):
Cs (0.173, 0.000, 0.215) (multiplicity 4)
K (0.000, 0.256, 0.500) (multiplicity 4)
V (0.042, 0.500, 0.133) (multiplicity 4)
Te (0.096, 0.280, 0.889) (multiplicity 8)
Te (0.233, 0.500, 0.352) (multiplicity 4)

magnetic moment	0.000	μB per atom
formation energy (no corrections)	-0.543	eV per atom
raw total energy	-3.959	eV/atom